The following is a DFT calculation (GGA+U) of crystalline Mg2Co9O13 at its relaxed geometry.

Geometry as CIF:
```
data_Mg2Co9O13
_chemical_formula_sum 'Mg2 Co9 O13'
_cell_length_a 5.057
_cell_length_b 5.057
_cell_length_c 16.347
_cell_angle_alpha 82.83
_cell_angle_beta 82.83
_cell_angle_gamma 33.01
_space_group_name_H-M_alt 'P 1'
_space_group_IT_number 1
loop_
_space_group_symop_operation_xyz
'x,y,z'
loop_
_atom_site_label
_atom_site_fract_x
_atom_site_fract_y
_atom_site_fract_z
_atom_site_occupancy
O1 0.121 0.121 0.530 1
O2 0.136 0.136 0.219 1
O3 0.430 0.430 0.142 1
O4 0.697 0.697 0.072 1
O5 0.363 0.363 0.306 1
O6 0.864 0.864 0.781 1
O7 0.303 0.303 0.928 1
O8 0.000 0.000 0.000 1
O9 0.396 0.396 0.611 1
O10 0.637 0.637 0.694 1
O11 0.879 0.879 0.470 1
O12 0.604 0.604 0.389 1
O13 0.570 0.570 0.858 1
Mg1 0.213 0.213 0.775 1
Mg2 0.787 0.787 0.225 1
Co1 0.247 0.247 0.415 1
Co2 0.993 0.993 0.674 1
Co3 0.934 0.934 0.883 1
Co4 0.644 0.644 0.960 1
Co5 0.500 0.500 0.500 1
Co6 0.066 0.066 0.117 1
Co7 0.007 0.007 0.326 1
Co8 0.753 0.753 0.585 1
Co9 0.356 0.356 0.040 1
```

Properties
DOS(E_F) = 0.3031 states/eV per atom
Energy = -140.92 eV per formula unit